# LaH2OsAu | Alexandria via LeMat-Bulk | GGA-PBE | relaxed
# Calculated volume   16.58 Å³/atom
# Calculated total energy   -24.95 eV/cell
data_LaH2OsAu
_chemical_formula_sum 'La1 H2 Os1 Au1'
_cell_length_a 4.0149
_cell_length_b 4.0149
_cell_length_c 5.1444
_cell_angle_alpha 90.00
_cell_angle_beta 90.00
_cell_angle_gamma 90.00
_space_group_name_H-M_alt 'P 4/m m m'
_space_group_IT_number 123
_space_group_name_Hall '-P 4 2'
loop_
_atom_site_label
_atom_site_type_symbol
_atom_site_fract_x
_atom_site_fract_y
_atom_site_fract_z
La1 La 0.0000 0.0000 0.0000
H1 H 0.0000 0.5000 0.5000
Os1 Os 0.5000 0.5000 0.5000
Au1 Au 0.5000 0.5000 0.0000